Record 1
{
  "formula": "FeP4Pt",
  "functional": "GGA-PBE",
  "state": "optimized geometry",
  "spacegroup": "F-43m (216)",
  "lattice_angstrom": [[0.000, 3.523, 3.523], [3.523, 0.000, 3.523], [3.523, 3.523, 0.000]],
  "species": ["Fe", "P", "P", "P", "P", "Pt"],
  "frac_coords": [[0.000, 0.000, 0.000], [0.119, 0.627, 0.627], [0.627, 0.119, 0.627], [0.627, 0.627, 0.119], [0.627, 0.627, 0.627], [0.250, 0.250, 0.250]]
}



Record 2
{
  "formula": "Ti6CoIr5",
  "functional": "GGA-PBE",
  "state": "optimized geometry",
  "spacegroup": "Cmmm (65)",
  "lattice_angstrom": [[2.095, -6.287, 0.000], [2.095, 6.287, 0.000], [0.000, 0.000, 6.762]],
  "species": ["Ti", "Ti", "Ti", "Ti", "Ti", "Ti", "Co", "Ir", "Ir", "Ir", "Ir", "Ir"],
  "frac_coords": [[0.000, 0.000, 0.242], [0.000, 0.000, 0.758], [0.336, 0.664, 0.247], [0.336, 0.664, 0.753], [0.664, 0.336, 0.247], [0.664, 0.336, 0.753], [0.500, 0.500, 0.000], [0.165, 0.835, 0.000], [0.168, 0.832, 0.500], [0.500, 0.500, 0.500], [0.832, 0.168, 0.500], [0.835, 0.165, 0.000]]
}



Record 3
{
  "formula": "Pb4C23",
  "functional": "GGA-PBE",
  "state": "optimized geometry",
  "spacegroup": "Pm-3n (223)",
  "lattice_angstrom": [[7.634, 0.000, 0.000], [0.000, 7.634, 0.000], [0.000, 0.000, 7.634]],
  "species": ["Pb", "Pb", "Pb", "Pb", "Pb", "Pb", "Pb", "Pb", "C", "C", "C", "C", "C", "C", "C", "C", "C", "C", "C", "C", "C", "C", "C", "C", "C", "C", "C", "C", "C", "C", "C", "C", "C", "C", "C", "C", "C", "C", "C", "C", "C", "C", "C", "C", "C", "C", "C", "C", "C", "C", "C", "C", "C", "C"],
  "frac_coords": [[0.000, 0.000, 0.000], [0.000, 0.250, 0.500], [0.000, 0.750, 0.500], [0.250, 0.500, 0.000], [0.500, 0.000, 0.250], [0.500, 0.000, 0.750], [0.500, 0.500, 0.500], [0.750, 0.500, 0.000], [0.000, 0.290, 0.186], [0.000, 0.290, 0.814], [0.000, 0.500, 0.250], [0.000, 0.500, 0.750], [0.000, 0.710, 0.186], [0.000, 0.710, 0.814], [0.186, 0.000, 0.290], [0.186, 0.000, 0.710], [0.189, 0.189, 0.189], [0.189, 0.189, 0.811], [0.189, 0.811, 0.189], [0.189, 0.811, 0.811], [0.210, 0.500, 0.314], [0.210, 0.500, 0.686], [0.250, 0.000, 0.500], [0.290, 0.186, 0.000], [0.290, 0.814, 0.000], [0.311, 0.311, 0.311], [0.311, 0.311, 0.689], [0.311, 0.689, 0.311], [0.311, 0.689, 0.689], [0.314, 0.210, 0.500], [0.314, 0.790, 0.500], [0.500, 0.250, 0.000], [0.500, 0.314, 0.210], [0.500, 0.314, 0.790], [0.500, 0.686, 0.210], [0.500, 0.686, 0.790], [0.500, 0.750, 0.000], [0.686, 0.210, 0.500], [0.686, 0.790, 0.500], [0.689, 0.311, 0.311], [0.689, 0.311, 0.689], [0.689, 0.689, 0.311], [0.689, 0.689, 0.689], [0.710, 0.186, 0.000], [0.710, 0.814, 0.000], [0.750, 0.000, 0.500], [0.790, 0.500, 0.314], [0.790, 0.500, 0.686], [0.811, 0.189, 0.189], [0.811, 0.189, 0.811], [0.811, 0.811, 0.189], [0.811, 0.811, 0.811], [0.814, 0.000, 0.290], [0.814, 0.000, 0.710]]
}



Record 4
{
  "formula": "BaCuAs2",
  "functional": "GGA-PBE",
  "state": "optimized geometry",
  "spacegroup": "Imm2 (44)",
  "lattice_angstrom": [[-2.254, 3.169, 3.734], [2.254, -3.169, 3.734], [2.254, 3.169, -3.734]],
  "species": ["Ba", "Cu", "As", "As"],
  "frac_coords": [[0.000, 0.000, 0.000], [0.658, 0.158, 0.500], [0.327, 0.827, 0.500], [0.514, 0.514, 0.000]]
}



Spin magnetization readings, ordered: 3.2; 1.5; 0.0; 0.0 μB per formula unit
DOS at the Fermi energy readings, ordered: 0.659; 1.044; 0.099; 0.641 states/eV per atom
Calculated formation energy readings, ordered: 0.718; -0.766; 1.579; -0.183 eV per atom